(1)
First-principles (GGA-PBEsol) data for LiGe2Pd after structural relaxation, as listed in Alexandria via LeMat-Bulk.

- calculated volume (A^3/atom) = 15.07
- DFT total energy (eV per formula unit) = -19.2
- spin magnetization (μB per cell) = 0.000

The structure in POSCAR format:
```
LiGe2Pd
1.0
0.0000 3.1119 3.1119
3.1119 0.0000 3.1119
3.1119 3.1119 0.0000
Li Ge Pd
1 2 1
direct
0.0000 0.0000 0.0000
0.2500 0.2500 0.2500
0.7500 0.7500 0.7500
0.5000 0.5000 0.5000
```

***

(2)
First-principles (GGA-PBEsol) data for LiTi2GePd after structural relaxation, as listed in Alexandria via LeMat-Bulk.

- calculated volume (A^3/atom) = 19.00
- DFT total energy (eV per formula unit) = -27.7
- spin magnetization (μB per cell) = 0.000

The structure in POSCAR format:
```
LiTi2GePd
1.0
4.6901 0.0000 0.0000
0.0000 4.6901 0.0000
0.0000 0.0000 4.3192
Li Ti Ge Pd
1 2 1 1
direct
0.0000 0.0000 0.0000
0.0000 0.5000 0.5000
0.5000 0.0000 0.5000
0.5000 0.5000 0.0000
0.0000 0.0000 0.5000
```

***

(3)
First-principles (GGA-PBEsol) data for LiPr2Ge6 after structural relaxation, as listed in Alexandria via LeMat-Bulk.

- calculated volume (A^3/atom) = 20.39
- DFT total energy (eV per formula unit) = -46.3
- spin magnetization (μB per cell) = 0.000

The structure in POSCAR format:
```
LiPr2Ge6
1.0
2.0430 -10.6732 0.0000
2.0430 10.6732 0.0000
0.0000 0.0000 4.2074
Li Pr Ge
1 2 6
direct
0.0000 0.0000 0.0000
0.1669 0.8331 0.0000
0.8331 0.1669 0.0000
0.0618 0.9382 0.5000
0.2872 0.7128 0.5000
0.4385 0.5615 0.0000
0.5615 0.4385 0.0000
0.7128 0.2872 0.5000
0.9382 0.0618 0.5000
```

***

(4)
First-principles (GGA-PBEsol) data for LiPrGe2 after structural relaxation, as listed in Alexandria via LeMat-Bulk.

- calculated volume (A^3/atom) = 20.26
- DFT total energy (eV per formula unit) = -19.9
- spin magnetization (μB per cell) = 0.000

The structure in POSCAR format:
```
LiPrGe2
1.0
7.7247 0.0000 0.0000
0.0000 3.9464 0.0000
0.0000 0.0000 10.6327
Li Pr Ge
4 4 8
direct
0.0099 0.2500 0.1097
0.4901 0.7500 0.6097
0.5099 0.2500 0.3903
0.9901 0.7500 0.8903
0.1407 0.7500 0.3657
0.3593 0.2500 0.8657
0.6407 0.7500 0.1343
0.8593 0.2500 0.6343
0.1562 0.7500 0.6838
0.2225 0.7500 0.0669
0.2775 0.2500 0.5669
0.3438 0.2500 0.1838
0.6562 0.7500 0.8162
0.7225 0.7500 0.4331
0.7775 0.2500 0.9331
0.8438 0.2500 0.3162
```

***

(5)
First-principles (GGA-PBEsol) data for LiPrGe after structural relaxation, as listed in Alexandria via LeMat-Bulk.

- calculated volume (A^3/atom) = 22.06
- DFT total energy (eV per formula unit) = -14.2
- spin magnetization (μB per cell) = 0.000

The structure in POSCAR format:
```
LiPrGe
1.0
7.2540 0.0000 0.0000
-3.6270 6.2822 0.0000
0.0000 0.0000 4.3565
Li Pr Ge
3 3 3
direct
0.0000 0.2329 0.0000
0.2329 0.0000 0.0000
0.7671 0.7671 0.0000
0.0000 0.5802 0.5000
0.4198 0.4198 0.5000
0.5802 0.0000 0.5000
0.0000 0.0000 0.5000
0.3333 0.6667 0.0000
0.6667 0.3333 0.0000
```

***

(6)
First-principles (GGA-PBEsol) data for LiGeTePt2 after structural relaxation, as listed in Alexandria via LeMat-Bulk.

- calculated volume (A^3/atom) = 26.09
- formation energy from raw total energies (eV/atom) = 0.661
- spin magnetization (μB per cell) = 0.000

The structure in POSCAR format:
```
LiGeTePt2
1.0
4.9372 0.0000 0.0000
0.0000 4.9372 0.0000
0.0000 0.0000 5.3509
Li Ge Te Pt
1 1 1 2
direct
0.0000 0.0000 0.0000
0.5000 0.5000 0.0000
0.5000 0.5000 0.5000
0.0000 0.5000 0.5000
0.5000 0.0000 0.5000
```